No. 1
18
Lattice="9.114 1.933 1.371 6.182 6.970 1.371 6.182 3.598 6.125" Properties=species:S:1:pos:R:3 comment="Ho2GaCu3Ni12 | Alexandria via LeMat-Bulk | PBE-GGA | relaxed" m_tot_mub_per_fu=0.00 total_energy_ev_per_atom=-5.047 spacegroup="R-3m (166)" pbc="T T T"
Ni 5.158 3.002 4.098
Ni 5.158 4.860 1.479
Ni 11.437 7.980 4.259
Ni 6.773 2.085 1.479
Ni 10.040 5.844 2.744
Ni 12.587 6.004 4.259
Ni 10.040 4.521 4.609
Ni 14.704 10.417 7.389
Ni 16.320 9.499 4.769
Ni 16.320 7.642 7.389
Ni 8.890 6.497 4.609
Ni 11.437 6.657 6.124
Cu 3.091 1.799 3.062
Cu 4.557 0.967 0.686
Cu 3.091 3.485 0.686
Ga 0.000 0.000 0.000
Ho 13.872 8.074 5.727
Ho 7.606 4.427 3.140

---

No. 2
18
Lattice="-5.905 -6.932 0.909 -2.251 -8.044 -3.739 -0.322 -8.949 1.887" Properties=species:S:1:pos:R:3 comment="Ho2Ga3CuNi12 | Alexandria via LeMat-Bulk | PBE-GGA | relaxed" m_tot_mub_per_fu=0.00 total_energy_ev_per_atom=-5.073 spacegroup="R-3m (166)" pbc="T T T"
Ni -3.681 -13.535 0.343
Ni -1.918 -6.367 -2.182
Ni -4.436 -13.181 -1.859
Ni -0.829 -6.878 0.992
Ni -4.797 -10.389 -1.286
Ni -2.611 -11.179 -0.903
Ni -4.498 -18.185 -1.384
Ni -4.042 -10.744 0.916
Ni -5.866 -12.746 -0.040
Ni -6.560 -17.558 1.239
Ni -3.979 -5.740 0.441
Ni -7.648 -17.047 -1.936
Ho -5.522 -15.582 -0.614
Ho -2.956 -8.342 -0.329
Ga -2.952 -3.466 0.455
Ga -1.125 -4.022 -1.870
Ga -0.161 -4.475 0.943
Cu 0.000 0.000 0.000

---

No. 3
15
Lattice="-5.611 1.618 -0.073 1.982 -3.844 -3.925 -1.964 -6.566 5.438" Properties=species:S:1:pos:R:3 comment="Ho3GaCu2Ni9 | Alexandria via LeMat-Bulk | PBE-GGA | relaxed" m_tot_mub_per_fu=0.00 total_energy_ev_per_atom=-5.109 spacegroup="P-3m1 (164)" pbc="T T T"
Cu -4.684 -5.561 3.081
Cu -0.910 -3.230 -1.642
Ni -2.806 0.809 -0.037
Ni -2.946 -3.978 -1.937
Ni -6.015 -3.842 3.332
Ni 0.991 -1.922 -1.963
Ni -2.648 -4.813 3.376
Ni 0.421 -4.949 -1.893
Ni -4.825 -6.149 0.977
Ni -0.768 -2.643 0.462
Ni -1.815 -1.113 -1.999
Ga -0.982 -3.283 2.719
Ho 0.000 0.000 0.000
Ho -1.972 -6.779 1.298
Ho -3.622 -2.012 0.142

---

No. 4
12
Lattice="-0.046 4.754 2.902 -3.582 1.989 -3.317 -2.660 -3.174 5.158" Properties=species:S:1:pos:R:3 comment="HoGaCuNi3 | Alexandria via LeMat-Bulk | PBE-GGA | relaxed" m_tot_mub_per_fu=0.00 total_energy_ev_per_atom=-5.024 spacegroup="Cmcm (63)" pbc="T T T"
Ga -3.061 3.956 1.489
Ga -3.227 -0.386 3.254
Ni -5.000 3.006 3.014
Ni -2.653 3.838 -0.984
Ni -0.975 2.906 0.569
Ni -0.952 0.529 -0.882
Ni -2.630 1.461 -2.435
Ni -1.287 0.564 1.729
Cu -0.968 3.109 2.910
Cu -5.320 0.461 1.833
Ho -3.441 1.381 0.355
Ho -2.847 2.189 4.388

---

No. 5
10
Lattice="-3.134 1.352 -2.303 -0.749 -3.853 -1.243 -6.418 -1.320 7.960" Properties=species:S:1:pos:R:3 comment="Ho2Ga4Cu3Pd | Alexandria via LeMat-Bulk | PBE-GGA | relaxed" m_tot_mub_per_fu=0.00 total_energy_ev_per_atom=-4.384 spacegroup="P-4m2 (115)" pbc="T T T"
Ho -5.209 -2.921 5.375
Ho -3.150 0.350 0.812
Cu -3.209 -0.660 3.980
Cu -7.127 -0.467 5.744
Cu -1.233 -2.103 0.443
Pd -5.151 -1.910 2.207
Ga -5.653 -0.164 3.916
Ga -1.942 -1.251 -1.773
Ga 0.000 0.000 0.000
Ga -2.707 -2.406 2.271

---

No. 6
10
Lattice="-1.665 0.686 3.579 2.562 -2.577 1.687 7.372 8.507 1.799" Properties=species:S:1:pos:R:3 comment="Ho2Ga4CuPd3 | Alexandria via LeMat-Bulk | PBE-GGA | relaxed" m_tot_mub_per_fu=0.00 total_energy_ev_per_atom=-4.781 spacegroup="P-4m2 (115)" pbc="T T T"
Ga 0.000 0.000 0.000
Ga 0.449 -0.945 2.633
Ga 3.983 1.830 1.503
Ga 3.837 5.732 2.929
Pd 5.458 7.603 3.324
Pd 3.686 4.254 0.899
Pd 2.363 -0.041 1.107
Ho 1.033 2.496 2.245
Ho 6.787 5.066 2.187
Cu 4.134 3.308 3.532

---

No. 7
8
Lattice="-1.434 3.697 -1.339 -3.540 1.571 1.588 2.986 5.843 6.394" Properties=species:S:1:pos:R:3 comment="HoGa4Cu2Pd | Alexandria via LeMat-Bulk | PBE-GGA | relaxed" m_tot_mub_per_fu=0.00 total_energy_ev_per_atom=-4.146 spacegroup="R-3m (166)" pbc="T T T"
Pd -0.994 5.556 3.321
Cu -0.411 2.853 1.777
Cu -1.576 8.258 4.865
Ga 1.234 4.301 4.013
Ga -2.406 4.313 1.402
Ga 0.419 6.798 5.240
Ga -3.222 6.810 2.629
Ho 0.000 0.000 0.000

---

No. 8
4
Lattice="-2.678 3.768 -0.211 -2.832 0.628 -3.606 -4.578 -0.380 0.559" Properties=species:S:1:pos:R:3 comment="HoGaCuPd | Alexandria via LeMat-Bulk | PBE-GGA | relaxed" m_tot_mub_per_fu=0.00 total_energy_ev_per_atom=-4.773 spacegroup="F-43m (216)" pbc="T T T"
Cu -2.522 1.004 -0.814
Ho 0.000 0.000 0.000
Ga -5.044 2.008 -1.629
Pd -7.566 3.012 -2.443